Entry 1:
# BaZnSn, relaxed, DFT PBE
# electronic total energy = -0.10103 hartree per atom
data_BaZnSn
_space_group_name_H-M_alt 'P -6 2 m'
_space_group_IT_number 189
_space_group_name_Hall 'P -6 -2'
_cell_length_a 7.9076
_cell_length_b 7.9076
_cell_length_c 5.0832
_cell_angle_alpha 90.00
_cell_angle_beta 90.00
_cell_angle_gamma 120.00
loop_
_atom_site_label
_atom_site_fract_x
_atom_site_fract_y
_atom_site_fract_z
_atom_site_occupancy
Ba1 0.0000 0.5654 0.0000 1
Zn1 0.0000 0.2453 0.5000 1
Sn1 0.0000 0.0000 0.0000 1
Sn2 0.3333 0.6667 0.5000 1

Entry 2:
# BaZnSn, relaxed, DFT PBE
# electronic total energy = -0.09041 hartree per atom
data_BaZnSn
_space_group_name_H-M_alt 'P -6 2 m'
_space_group_IT_number 189
_space_group_name_Hall 'P -6 -2'
_cell_length_a 9.4045
_cell_length_b 9.4045
_cell_length_c 3.9026
_cell_angle_alpha 90.00
_cell_angle_beta 90.00
_cell_angle_gamma 120.00
loop_
_atom_site_label
_atom_site_fract_x
_atom_site_fract_y
_atom_site_fract_z
_atom_site_occupancy
Ba1 0.0000 0.2952 0.0000 1
Zn1 0.0000 0.6170 0.5000 1
Sn1 0.0000 0.0000 0.5000 1
Sn2 0.3333 0.6667 0.0000 1

Entry 3:
# BaZnSn, relaxed, DFT PBE
# electronic total energy = -0.10759 hartree per atom
data_BaZnSn
_space_group_name_H-M_alt 'P 63/m m c'
_space_group_IT_number 194
_space_group_name_Hall '-P 6c 2c'
_cell_length_a 4.7317
_cell_length_b 4.7317
_cell_length_c 9.9805
_cell_angle_alpha 90.00
_cell_angle_beta 90.00
_cell_angle_gamma 120.00
loop_
_atom_site_label
_atom_site_fract_x
_atom_site_fract_y
_atom_site_fract_z
_atom_site_occupancy
Ba1 0.0000 0.0000 0.0000 1
Zn1 0.3333 0.6667 0.2500 1
Sn1 0.3333 0.6667 0.7500 1

Entry 4:
# BaZnSn, relaxed, DFT PBE
# electronic total energy = -0.10077 hartree per atom
data_BaZnSn
_space_group_name_H-M_alt 'P -6 2 m'
_space_group_IT_number 189
_space_group_name_Hall 'P -6 -2'
_cell_length_a 7.9473
_cell_length_b 7.9473
_cell_length_c 4.8976
_cell_angle_alpha 90.00
_cell_angle_beta 90.00
_cell_angle_gamma 120.00
loop_
_atom_site_label
_atom_site_fract_x
_atom_site_fract_y
_atom_site_fract_z
_atom_site_occupancy
Ba1 0.0000 0.5911 0.0000 1
Zn1 0.0000 0.0000 0.0000 1
Zn2 0.3333 0.6667 0.5000 1
Sn1 0.0000 0.2464 0.5000 1

Entry 5:
# BaZnSn2, relaxed, DFT PBE
# electronic total energy = -0.11002 hartree per atom
data_BaZnSn2
_space_group_name_H-M_alt 'F -4 3 m'
_space_group_IT_number 216
_space_group_name_Hall 'F -4 2 3'
_cell_length_a 7.845
_cell_length_b 7.845
_cell_length_c 7.845
_cell_angle_alpha 90.00
_cell_angle_beta 90.00
_cell_angle_gamma 90.00
loop_
_atom_site_label
_atom_site_fract_x
_atom_site_fract_y
_atom_site_fract_z
_atom_site_occupancy
Ba1 0.000 0.000 0.000 1
Zn1 0.250 0.250 0.250 1
Sn1 0.000 0.000 0.500 1
Sn2 0.250 0.250 0.750 1

Entry 6:
# BaZn2Sn2, relaxed, DFT PBE
# electronic total energy = -0.10677 hartree per atom
data_BaZn2Sn2
_space_group_name_H-M_alt 'P 4/n m m'
_space_group_IT_number 129
_cell_length_a 4.781
_cell_length_b 4.781
_cell_length_c 11.389
_cell_angle_alpha 90.00
_cell_angle_beta 90.00
_cell_angle_gamma 90.00
loop_
_space_group_symop_operation_xyz
'x,y,z'
'-x,-y,-z'
'-y+1/2,x,z'
'y+1/2,-x,-z'
'-x+1/2,-y+1/2,z'
'x+1/2,y+1/2,-z'
'y,-x+1/2,z'
'-y,x+1/2,-z'
'x+1/2,-y,-z'
'-x+1/2,y,z'
'-y,-x,-z'
'y,x,z'
'-x,y+1/2,-z'
'x,-y+1/2,z'
'y+1/2,x+1/2,-z'
'-y+1/2,-x+1/2,z'
loop_
_atom_site_label
_atom_site_fract_x
_atom_site_fract_y
_atom_site_fract_z
_atom_site_occupancy
Ba1 0.250 0.250 0.243 1
Zn1 0.250 0.250 0.636 1
Zn2 0.250 0.750 0.000 1
Sn1 0.250 0.250 0.872 1
Sn2 0.250 0.750 0.500 1

Entry 7:
# BaZnSn, relaxed, DFT PBE
# electronic total energy = -0.09215 hartree per atom
data_BaZnSn
_space_group_name_H-M_alt 'P 63/m m c'
_space_group_IT_number 194
_space_group_name_Hall '-P 6c 2c'
_cell_length_a 5.6779
_cell_length_b 5.6779
_cell_length_c 6.9556
_cell_angle_alpha 90.00
_cell_angle_beta 90.00
_cell_angle_gamma 120.00
loop_
_atom_site_label
_atom_site_fract_x
_atom_site_fract_y
_atom_site_fract_z
_atom_site_occupancy
Ba1 0.3333 0.6667 0.2500 1
Zn1 0.0000 0.0000 0.0000 1
Sn1 0.3333 0.6667 0.7500 1

Entry 8:
# BaZrSn2, relaxed, DFT PBE
# magnetic moment = 0.44 Bohr magnetons per cell
# electronic total energy = -0.16186 hartree per atom
data_BaZrSn2
_space_group_name_H-M_alt 'F -4 3 m'
_space_group_IT_number 216
_space_group_name_Hall 'F -4 2 3'
_cell_length_a 7.689
_cell_length_b 7.689
_cell_length_c 7.689
_cell_angle_alpha 90.00
_cell_angle_beta 90.00
_cell_angle_gamma 90.00
loop_
_atom_site_label
_atom_site_fract_x
_atom_site_fract_y
_atom_site_fract_z
_atom_site_occupancy
Ba1 0.000 0.000 0.000 1
Zr1 0.250 0.250 0.250 1
Sn1 0.000 0.000 0.500 1
Sn2 0.250 0.250 0.750 1

Entry 9:
# Ba2SrTc, relaxed, DFT PBE
# magnetic moment = 4.22 Bohr magnetons per cell
# electronic total energy = -0.11500 hartree per atom
data_Ba2SrTc
_space_group_name_H-M_alt 'F -4 3 m'
_space_group_IT_number 216
_space_group_name_Hall 'F -4 2 3'
_cell_length_a 8.169
_cell_length_b 8.169
_cell_length_c 8.169
_cell_angle_alpha 90.00
_cell_angle_beta 90.00
_cell_angle_gamma 90.00
loop_
_atom_site_label
_atom_site_fract_x
_atom_site_fract_y
_atom_site_fract_z
_atom_site_occupancy
Ba1 0.000 0.000 0.000 1
Ba2 0.250 0.250 0.250 1
Sr1 0.250 0.250 0.750 1
Tc1 0.000 0.000 0.500 1

Entry 10:
# Ba2Sr2Th, relaxed, DFT PBE
# magnetic moment = 2.51 Bohr magnetons per cell
# electronic total energy = -0.08185 hartree per atom
data_Ba2Sr2Th
_space_group_name_H-M_alt 'I 4/m m m'
_space_group_IT_number 139
_space_group_name_Hall '-I 4 2'
_cell_length_a 5.074
_cell_length_b 5.074
_cell_length_c 19.188
_cell_angle_alpha 90.00
_cell_angle_beta 90.00
_cell_angle_gamma 90.00
loop_
_atom_site_label
_atom_site_fract_x
_atom_site_fract_y
_atom_site_fract_z
_atom_site_occupancy
Ba1 0.000 0.500 0.250 1
Sr1 0.000 0.000 0.089 1
Th1 0.000 0.000 0.500 1

Entry 11:
# BaSrZn, relaxed, DFT PBE
# excess energy over the best structure of this formula in the dataset = 0.000 eV/atom
data_BaSrZn
_space_group_name_H-M_alt 'P 4/n m m'
_space_group_IT_number 129
_cell_length_a 4.055
_cell_length_b 4.055
_cell_length_c 14.470
_cell_angle_alpha 90.00
_cell_angle_beta 90.00
_cell_angle_gamma 90.00
loop_
_space_group_symop_operation_xyz
'x,y,z'
'-x,-y,-z'
'-y+1/2,x,z'
'y+1/2,-x,-z'
'-x+1/2,-y+1/2,z'
'x+1/2,y+1/2,-z'
'y,-x+1/2,z'
'-y,x+1/2,-z'
'x+1/2,-y,-z'
'-x+1/2,y,z'
'-y,-x,-z'
'y,x,z'
'-x,y+1/2,-z'
'x,-y+1/2,z'
'y+1/2,x+1/2,-z'
'-y+1/2,-x+1/2,z'
loop_
_atom_site_label
_atom_site_fract_x
_atom_site_fract_y
_atom_site_fract_z
_atom_site_occupancy
Ba1 0.250 0.250 0.123 1
Sr1 0.250 0.250 0.387 1
Zn1 0.250 0.250 0.739 1

Entry 12:
# BaSrZn, relaxed, DFT PBE
# excess energy over the best structure of this formula in the dataset = 0.004 eV/atom
data_BaSrZn
_space_group_name_H-M_alt 'P 4/m m m'
_space_group_IT_number 123
_space_group_name_Hall '-P 4 2'
_cell_length_a 4.068
_cell_length_b 4.068
_cell_length_c 14.463
_cell_angle_alpha 90.00
_cell_angle_beta 90.00
_cell_angle_gamma 90.00
loop_
_atom_site_label
_atom_site_fract_x
_atom_site_fract_y
_atom_site_fract_z
_atom_site_occupancy
Ba1 0.000 0.000 0.135 1
Sr1 0.500 0.500 0.371 1
Zn1 0.000 0.000 0.500 1
Zn2 0.500 0.500 0.000 1

Entry 13:
# BaSr3Zn2, relaxed, DFT PBE
# electronic total energy = -0.06321 hartree per atom
data_BaSr3Zn2
_space_group_name_H-M_alt 'P 4 m m'
_space_group_IT_number 99
_cell_length_a 4.006
_cell_length_b 4.006
_cell_length_c 14.334
_cell_angle_alpha 90.00
_cell_angle_beta 90.00
_cell_angle_gamma 90.00
loop_
_space_group_symop_operation_xyz
'x,y,z'
'-y,x,z'
'-x,-y,z'
'y,-x,z'
'-x,y,z'
'y,x,z'
'x,-y,z'
'-y,-x,z'
loop_
_atom_site_label
_atom_site_fract_x
_atom_site_fract_y
_atom_site_fract_z
_atom_site_occupancy
Ba1 0.000 0.000 0.000 1
Sr1 0.000 0.000 0.269 1
Sr2 0.500 0.500 0.500 1
Sr3 0.500 0.500 0.762 1
Zn1 0.000 0.000 0.633 1
Zn2 0.500 0.500 0.141 1

Entry 14:
# BaSrZn, relaxed, DFT PBE
# excess energy over the best structure of this formula in the dataset = 0.000 eV/atom
data_BaSrZn
_space_group_name_H-M_alt 'I 4 m m'
_space_group_IT_number 107
_space_group_name_Hall 'I 4 -2'
_cell_length_a 4.053
_cell_length_b 4.053
_cell_length_c 14.460
_cell_angle_alpha 90.00
_cell_angle_beta 90.00
_cell_angle_gamma 90.00
loop_
_atom_site_label
_atom_site_fract_x
_atom_site_fract_y
_atom_site_fract_z
_atom_site_occupancy
Ba1 0.000 0.000 0.000 1
Sr1 0.000 0.000 0.264 1
Zn1 0.000 0.000 0.641 1